Compound: YCrH2
Source: Alexandria via LeMat-Bulk
Functional: PBE
Structure: relaxed

abc: 5.865 5.865 5.865
angles: 90.00 90.00 90.00
Space group Fm-3m (No. 225)
Asymmetric unit:
Y1 0.000 0.000 0.000 [4 per cell]
Cr1 0.000 0.000 0.500 [4 per cell]
H1 0.250 0.250 0.250 [8 per cell]

As for the total energy: -21.4 eV/f.u.

---

Compound: Tb5Y3Er4
Source: Alexandria via LeMat-Bulk
Functional: PBE
Structure: relaxed

abc: 6.140 7.095 8.675
angles: 90.02 90.09 90.11
Space group P-1 (No. 2)
Asymmetric unit:
Tb1 0.000 0.000 0.000 [1 per cell]
Tb2 0.334 0.500 0.334 [2 per cell]
Tb3 0.499 0.751 0.999 [2 per cell]
Y1 0.000 0.500 0.000 [1 per cell]
Y2 0.166 0.249 0.665 [2 per cell]
Er1 0.167 0.751 0.665 [2 per cell]
Er2 0.334 0.001 0.333 [2 per cell]

The energy of formation comes out at 0.020 eV per atom. As for the total energy: -60.6 eV/f.u.

---

Compound: LaMgCo2
Source: Alexandria via LeMat-Bulk
Functional: PBE
Structure: relaxed

abc: 3.841 3.841 9.708
angles: 90.00 90.00 90.00
Space group I-4m2 (No. 119)
Asymmetric unit:
La1 0.000 0.000 0.000 [2 per cell]
Mg1 0.000 0.500 0.750 [2 per cell]
Co1 0.000 0.000 0.500 [2 per cell]
Co2 0.000 0.500 0.250 [2 per cell]

The energy of formation comes out at 0.268 eV per atom. As for the total energy: -19.7 eV/f.u.

---

Compound: Ba2AgPtC
Source: Alexandria via LeMat-Bulk
Functional: PBE
Structure: relaxed

abc: 5.963 5.963 3.905
angles: 90.00 90.00 90.00
Space group P4/mmm (No. 123)
Asymmetric unit:
Ba1 0.000 0.500 0.000 [2 per cell]
Ag1 0.000 0.000 0.500 [1 per cell]
Pt1 0.500 0.500 0.500 [1 per cell]
C1 0.500 0.500 0.000 [1 per cell]

The energy of formation comes out at -0.244 eV per atom. As for the total energy: -23.2 eV/f.u.